(1)
DFT (PBE) results for an optimized crystal structure of Nd3Ho3Ge4.

Cell lengths 4.366, 7.667, 7.667 Å; angles 90.15, 90.00, 90.00 degrees
Sites, in units of the cell vectors:
Nd (0.000, 0.000, 0.000)
Nd (0.000, 0.154, 0.504)
Nd (0.000, 0.504, 0.154)
Ho (0.000, 0.653, 0.653)
Ho (0.500, 0.327, 0.828)
Ho (0.500, 0.828, 0.327)
Ge (0.500, 0.206, 0.206)
Ge (0.500, 0.457, 0.457)
Ge (0.500, 0.702, 0.944)
Ge (0.500, 0.944, 0.702)

space group	No. 38
formation energy from the elements	-0.78	eV/atom

---

(2)
DFT (PBE) results for an optimized crystal structure of NdHoGe.

Cell lengths 4.305, 4.305, 11.471 Å; angles 90.00, 90.00, 120.00 degrees
Sites, in units of the cell vectors:
Nd (0.000, 0.000, 0.229)
Nd (0.000, 0.000, 0.771)
Ho (0.333, 0.667, 0.000)
Ho (0.667, 0.333, 0.500)
Ge (0.333, 0.667, 0.361)
Ge (0.333, 0.667, 0.639)

offset from the most stable computed form	0.138	eV/atom
space group	No. 187
formation energy from the elements	-0.39	eV/atom

---

(3)
DFT (PBE) results for an optimized crystal structure of Nd2HoGe.

Cell lengths 11.255, 11.255, 11.255 Å; angles 18.85, 18.85, 18.85 degrees
Sites, in units of the cell vectors:
Nd (0.104, 0.104, 0.104)
Nd (0.896, 0.896, 0.896)
Ho (0.000, 0.000, 0.000)
Ge (0.500, 0.500, 0.500)

offset from the most stable computed form	0.335	eV/atom
space group	No. 166
formation energy from the elements	0.01	eV/atom

---

(4)
DFT (PBE) results for an optimized crystal structure of Nd2HoGe.

Cell lengths 4.743, 4.743, 4.814 Å; angles 90.00, 90.00, 90.00 degrees
Sites, in units of the cell vectors:
Nd (0.000, 0.500, 0.000)
Nd (0.500, 0.000, 0.000)
Ho (0.000, 0.000, 0.500)
Ge (0.500, 0.500, 0.500)

offset from the most stable computed form	0.000	eV/atom
space group	No. 123
formation energy from the elements	-0.33	eV/atom

---

(5)
DFT (PBE) results for an optimized crystal structure of NdHoGe.

Cell lengths 4.965, 4.965, 4.965 Å; angles 60.00, 60.00, 60.00 degrees
Sites, in units of the cell vectors:
Nd (0.000, 0.000, 0.000)
Ho (0.500, 0.500, 0.500)
Ge (0.750, 0.750, 0.750)

offset from the most stable computed form	0.000	eV/atom
space group	No. 216
formation energy from the elements	-0.52	eV/atom

---

(6)
DFT (PBE) results for an optimized crystal structure of NdHoGe2.

Cell lengths 4.022, 5.873, 5.873 Å; angles 43.74, 90.00, 90.00 degrees
Sites, in units of the cell vectors:
Nd (0.000, 0.000, 0.000)
Ho (0.500, 0.276, 0.276)
Ge (0.000, 0.723, 0.723)
Ge (0.500, 0.556, 0.556)

offset from the most stable computed form	0.000	eV/atom
space group	No. 38
formation energy from the elements	-0.84	eV/atom

---

(7)
DFT (PBE) results for an optimized crystal structure of NdHoGe2.

Cell lengths 4.020, 5.880, 8.104 Å; angles 90.00, 90.00, 90.00 degrees
Sites, in units of the cell vectors:
Nd (0.000, 0.132, 0.000)
Nd (0.000, 0.868, 0.500)
Ho (0.500, 0.369, 0.637)
Ho (0.500, 0.631, 0.137)
Ge (0.000, 0.393, 0.359)
Ge (0.000, 0.607, 0.859)
Ge (0.500, 0.111, 0.280)
Ge (0.500, 0.889, 0.780)

offset from the most stable computed form	0.002	eV/atom
space group	No. 26
formation energy from the elements	-0.84	eV/atom

---

(8)
DFT (PBE) results for an optimized crystal structure of NdHoGe.

Cell lengths 5.690, 5.690, 5.690 Å; angles 139.66, 139.66, 58.38 degrees
Sites, in units of the cell vectors:
Nd (0.000, 0.000, 0.000)
Ho (0.704, 0.704, 0.000)
Ge (0.335, 0.335, 0.000)

offset from the most stable computed form	0.120	eV/atom
space group	No. 107
formation energy from the elements	-0.40	eV/atom

---

(9)
DFT (PBE) results for an optimized crystal structure of Nd2Ho2Ge3.

Cell lengths 5.843, 5.843, 8.195 Å; angles 99.64, 99.64, 46.64 degrees
Sites, in units of the cell vectors:
Nd (0.126, 0.126, 0.351)
Nd (0.874, 0.874, 0.649)
Ho (0.360, 0.360, 0.076)
Ho (0.640, 0.640, 0.924)
Ge (0.000, 0.000, 0.000)
Ge (0.203, 0.203, 0.726)
Ge (0.797, 0.797, 0.274)

space group	No. 12
formation energy from the elements	-0.64	eV/atom

---

(10)
DFT (PBE) results for an optimized crystal structure of NdHoGe.

Cell lengths 4.760, 4.760, 4.275 Å; angles 90.00, 90.00, 120.00 degrees
Sites, in units of the cell vectors:
Nd (0.000, 0.000, 0.000)
Ho (0.333, 0.667, 0.476)
Ge (0.667, 0.333, 0.614)

offset from the most stable computed form	0.108	eV/atom
space group	No. 156
formation energy from the elements	-0.42	eV/atom

---

(11)
DFT (PBE) results for an optimized crystal structure of NdHo2Ge.

Cell lengths 11.180, 11.180, 11.180 Å; angles 18.38, 18.38, 18.38 degrees
Sites, in units of the cell vectors:
Nd (0.000, 0.000, 0.000)
Ho (0.106, 0.106, 0.106)
Ho (0.894, 0.894, 0.894)
Ge (0.500, 0.500, 0.500)

offset from the most stable computed form	0.173	eV/atom
space group	No. 166
formation energy from the elements	-0.08	eV/atom

---

(12)
DFT (PBE) results for an optimized crystal structure of NdHo2Ge.

Cell lengths 9.997, 9.997, 9.997 Å; angles 21.67, 21.67, 21.67 degrees
Sites, in units of the cell vectors:
Nd (0.000, 0.000, 0.000)
Ho (0.563, 0.563, 0.563)
Ho (0.768, 0.768, 0.768)
Ge (0.165, 0.165, 0.165)

offset from the most stable computed form	0.000	eV/atom
space group	No. 160
formation energy from the elements	-0.25	eV/atom

---

(13)
DFT (PBE) results for an optimized crystal structure of Nd2HoGe2.

Cell lengths 6.633, 6.633, 10.812 Å; angles 115.02, 115.02, 39.06 degrees
Sites, in units of the cell vectors:
Nd (0.016, 0.016, 0.187)
Nd (0.179, 0.179, 0.589)
Nd (0.821, 0.821, 0.411)
Nd (0.984, 0.984, 0.813)
Ho (0.278, 0.278, 0.136)
Ho (0.722, 0.722, 0.864)
Ge (0.383, 0.383, 0.939)
Ge (0.483, 0.483, 0.609)
Ge (0.517, 0.517, 0.391)
Ge (0.617, 0.617, 0.061)

offset from the most stable computed form	0.069	eV/atom
space group	No. 12
formation energy from the elements	-0.71	eV/atom

---

(14)
DFT (PBE) results for an optimized crystal structure of NdHoGe2.

Cell lengths 6.021, 6.021, 6.021 Å; angles 45.59, 45.59, 45.59 degrees
Sites, in units of the cell vectors:
Nd (0.000, 0.000, 0.000)
Ho (0.500, 0.500, 0.500)
Ge (0.242, 0.242, 0.242)
Ge (0.758, 0.758, 0.758)

offset from the most stable computed form	0.162	eV/atom
space group	No. 166
formation energy from the elements	-0.68	eV/atom

---

(15)
DFT (PBE) results for an optimized crystal structure of NdHoGe2.

Cell lengths 4.806, 4.806, 4.087 Å; angles 90.00, 90.00, 90.00 degrees
Sites, in units of the cell vectors:
Nd (0.000, 0.000, 0.000)
Ho (0.500, 0.500, 0.000)
Ge (0.000, 0.500, 0.500)
Ge (0.500, 0.000, 0.500)

offset from the most stable computed form	0.224	eV/atom
space group	No. 123
formation energy from the elements	-0.62	eV/atom

---

(16)
DFT (PBE) results for an optimized crystal structure of Nd5Ho2Ge4.

Cell lengths 10.876, 10.876, 8.312 Å; angles 95.50, 95.50, 20.34 degrees
Sites, in units of the cell vectors:
Nd (0.000, 0.000, 0.000)
Nd (0.338, 0.338, 0.028)
Nd (0.399, 0.399, 0.571)
Nd (0.601, 0.601, 0.429)
Nd (0.662, 0.662, 0.972)
Ho (0.234, 0.234, 0.663)
Ho (0.766, 0.766, 0.337)
Ge (0.105, 0.105, 0.717)
Ge (0.472, 0.472, 0.267)
Ge (0.528, 0.528, 0.733)
Ge (0.895, 0.895, 0.283)

space group	No. 12
formation energy from the elements	-0.28	eV/atom

---

(17)
DFT (PBE) results for an optimized crystal structure of Nd4Ho2Ge3O2.

Cell lengths 12.484, 12.484, 12.484 Å; angles 158.30, 158.30, 30.88 degrees
Sites, in units of the cell vectors:
Nd (0.082, 0.582, 0.500)
Nd (0.418, 0.918, 0.500)
Nd (0.582, 0.082, 0.500)
Nd (0.918, 0.418, 0.500)
Ho (0.200, 0.200, 0.000)
Ho (0.800, 0.800, 0.000)
Ge (0.322, 0.322, 0.000)
Ge (0.500, 0.500, 0.000)
Ge (0.678, 0.678, 0.000)
O (0.108, 0.108, 0.000)
O (0.892, 0.892, 0.000)

space group	No. 139
formation energy without anion corrections	-1.466	eV per atom

---

(18)
DFT (PBE) results for an optimized crystal structure of NdHoGe2Pd5.

Cell lengths 4.273, 4.273, 9.127 Å; angles 90.00, 90.00, 90.00 degrees
Sites, in units of the cell vectors:
Nd (0.000, 0.000, 0.000)
Ho (0.000, 0.000, 0.500)
Ge (0.500, 0.500, 0.366)
Ge (0.500, 0.500, 0.634)
Pd (0.000, 0.500, 0.230)
Pd (0.000, 0.500, 0.770)
Pd (0.500, 0.000, 0.230)
Pd (0.500, 0.000, 0.770)
Pd (0.500, 0.500, 0.000)

space group	No. 123
formation energy from the elements	-0.79	eV/atom

---

(19)
DFT (PBE) results for an optimized crystal structure of NdHoGePt.

Cell lengths 5.084, 5.084, 5.084 Å; angles 60.00, 60.00, 60.00 degrees
Sites, in units of the cell vectors:
Nd (0.000, 0.000, 0.000)
Ho (0.500, 0.500, 0.500)
Ge (0.250, 0.250, 0.250)
Pt (0.750, 0.750, 0.750)

offset from the most stable computed form	0.153	eV/atom
space group	No. 216
formation energy from the elements	-0.88	eV/atom

---

(20)
DFT (PBE) results for an optimized crystal structure of NdHoGePt.

Cell lengths 4.279, 5.899, 5.899 Å; angles 39.77, 90.00, 90.00 degrees
Sites, in units of the cell vectors:
Nd (0.000, 0.000, 0.000)
Ho (0.500, 0.277, 0.277)
Ge (0.500, 0.566, 0.566)
Pt (0.000, 0.728, 0.728)

offset from the most stable computed form	0.000	eV/atom
space group	No. 38
formation energy from the elements	-1.03	eV/atom

---

(21)
DFT (PBE) results for an optimized crystal structure of NdHoGe2Pt5.

Cell lengths 4.316, 4.316, 9.026 Å; angles 90.00, 90.00, 90.00 degrees
Sites, in units of the cell vectors:
Nd (0.000, 0.000, 0.000)
Ho (0.000, 0.000, 0.500)
Ge (0.500, 0.500, 0.366)
Ge (0.500, 0.500, 0.634)
Pt (0.000, 0.500, 0.233)
Pt (0.000, 0.500, 0.767)
Pt (0.500, 0.000, 0.233)
Pt (0.500, 0.000, 0.767)
Pt (0.500, 0.500, 0.000)

space group	No. 123
formation energy from the elements	-0.88	eV/atom

---

(22)
DFT (PBE) results for an optimized crystal structure of NdHoGeRh.

Cell lengths 5.030, 5.030, 5.030 Å; angles 60.00, 60.00, 60.00 degrees
Sites, in units of the cell vectors:
Nd (0.000, 0.000, 0.000)
Ho (0.500, 0.500, 0.500)
Ge (0.250, 0.250, 0.250)
Rh (0.750, 0.750, 0.750)

offset from the most stable computed form	0.157	eV/atom
space group	No. 216
formation energy from the elements	-0.66	eV/atom

---

(23)
DFT (PBE) results for an optimized crystal structure of NdHoGe2Rh5.

Cell lengths 4.213, 4.213, 8.991 Å; angles 90.00, 90.00, 90.00 degrees
Sites, in units of the cell vectors:
Nd (0.000, 0.000, 0.000)
Ho (0.000, 0.000, 0.500)
Ge (0.500, 0.500, 0.361)
Ge (0.500, 0.500, 0.639)
Rh (0.000, 0.500, 0.234)
Rh (0.000, 0.500, 0.766)
Rh (0.500, 0.000, 0.234)
Rh (0.500, 0.000, 0.766)
Rh (0.500, 0.500, 0.000)

space group	No. 123
formation energy from the elements	-0.68	eV/atom

---

(24)
DFT (PBE) results for an optimized crystal structure of NdHoGeRh.

Cell lengths 4.191, 5.713, 5.713 Å; angles 42.77, 90.00, 90.00 degrees
Sites, in units of the cell vectors:
Nd (0.000, 0.000, 0.000)
Ho (0.500, 0.719, 0.719)
Ge (0.500, 0.425, 0.425)
Rh (0.000, 0.274, 0.274)

offset from the most stable computed form	0.000	eV/atom
space group	No. 38
formation energy from the elements	-0.82	eV/atom

---

(25)
DFT (PBE) results for an optimized crystal structure of NdHoGeRu.

Cell lengths 3.856, 5.986, 5.986 Å; angles 42.31, 90.00, 90.00 degrees
Sites, in units of the cell vectors:
Nd (0.000, 0.000, 0.000)
Ho (0.500, 0.281, 0.281)
Ge (0.500, 0.587, 0.587)
Ru (0.000, 0.736, 0.736)

space group	No. 38
formation energy from the elements	-0.58	eV/atom

---

(26)
DFT (PBE) results for an optimized crystal structure of NdHoGeSe.

Cell lengths 7.307, 7.307, 7.307 Å; angles 33.35, 33.35, 33.35 degrees
Sites, in units of the cell vectors:
Nd (0.000, 0.000, 0.000)
Ho (0.508, 0.508, 0.508)
Ge (0.251, 0.251, 0.251)
Se (0.758, 0.758, 0.758)

space group	No. 160
formation energy without anion corrections	-1.379	eV per atom

---

(27)
DFT (PBE) results for an optimized crystal structure of NdHoTlGe.

Cell lengths 5.289, 5.289, 5.289 Å; angles 60.00, 60.00, 60.00 degrees
Sites, in units of the cell vectors:
Nd (0.000, 0.000, 0.000)
Ho (0.500, 0.500, 0.500)
Tl (0.250, 0.250, 0.250)
Ge (0.750, 0.750, 0.750)

space group	No. 216
formation energy from the elements	-0.43	eV/atom

---

(28)
DFT (PBE) results for an optimized crystal structure of Nd2HoZn2Ge2.

Cell lengths 11.637, 11.637, 11.637 Å; angles 20.64, 20.64, 20.64 degrees
Sites, in units of the cell vectors:
Nd (0.121, 0.121, 0.121)
Nd (0.879, 0.879, 0.879)
Ho (0.000, 0.000, 0.000)
Zn (0.395, 0.395, 0.395)
Zn (0.605, 0.605, 0.605)
Ge (0.277, 0.277, 0.277)
Ge (0.723, 0.723, 0.723)

space group	No. 166
formation energy from the elements	-0.47	eV/atom